Ac2BeS5 (GGA-PBE, optimized geometry); raw total energy = -43.09 eV/cell; energy relative to the elements, uncorrected = -1.31 eV/atom; SG = I4mm, No. 107; DOS(E_F) = 2.74 states/eV/cell; calculated volume = 22.9 Å³ per atom
1.0
-3.3708 3.3708 4.0326
3.3708 -3.3708 4.0326
3.3708 3.3708 -4.0326
Ac Be S
2 1 5
direct
0.0000 0.5000 0.5000
0.5000 0.0000 0.5000
0.1830 0.1830 0.0000
0.0265 0.0265 0.5420
0.0265 0.4845 0.0000
0.4845 0.0265 0.0000
0.4845 0.4845 0.4580
0.9261 0.9261 0.0000


Ac2BeS4 (GGA-PBE, optimized geometry); raw total energy = -82.74 eV/cell; energy relative to the elements, uncorrected = -1.85 eV/atom; SG = P2_1/m, No. 11; DOS(E_F) = 0.00 states/eV/cell; calculated volume = 23.7 Å³ per atom
1.0
6.3959 0.0000 0.0000
0.0000 6.5353 0.0000
-2.7292 0.0000 7.9338
Ac Be S
4 2 8
direct
0.2172 0.2500 0.0488
0.2766 0.2500 0.5726
0.7234 0.7500 0.4274
0.7828 0.7500 0.9512
0.2178 0.7500 0.7939
0.7822 0.2500 0.2061
0.0026 0.5014 0.7345
0.0026 0.9986 0.7345
0.3825 0.7500 0.0643
0.4169 0.7500 0.6315
0.5831 0.2500 0.3685
0.6175 0.2500 0.9357
0.9974 0.0014 0.2655
0.9974 0.4986 0.2655